# 1
This record from Alexandria describes a relaxed structure of Mo2OsSe. The functional is PBE-GGA.

Output
* energy: -8.745 eV per atom
* total moment: 0.0 Bohr magnetons per cell

The structure in CIF format:
```
data_Mo2OsSe
_space_group_name_H-M_alt 'P 1'
_space_group_IT_number 1
_space_group_name_Hall 'P 1'
_cell_length_a 2.947
_cell_length_b 3.960
_cell_length_c 5.456
_cell_angle_alpha 90.00
_cell_angle_beta 90.00
_cell_angle_gamma 90.00
loop_
_atom_site_label
_atom_site_fract_x
_atom_site_fract_y
_atom_site_fract_z
Os1 0.000 0.000 0.467
Se1 0.500 0.500 0.781
Mo1 0.500 0.500 0.291
Mo2 0.000 0.000 0.960
```

=====

# 2
This record from Alexandria describes a relaxed structure of MoOsSe2. The functional is PBE-GGA.

Output
* distance to the lowest polymorph of the same formula: 0.422 eV per atom
* total moment: 0.0 Bohr magnetons per cell

The structure in CIF format:
```
data_MoOsSe2
_space_group_name_H-M_alt 'P 1'
_space_group_IT_number 1
_space_group_name_Hall 'P 1'
_cell_length_a 4.438
_cell_length_b 4.438
_cell_length_c 4.438
_cell_angle_alpha 60.00
_cell_angle_beta 60.00
_cell_angle_gamma 60.00
loop_
_atom_site_label
_atom_site_fract_x
_atom_site_fract_y
_atom_site_fract_z
Mo1 0.000 0.000 0.000
Os1 0.500 0.500 0.500
Se1 0.750 0.750 0.750
Se2 0.250 0.250 0.250
```

=====

# 3
This record from Alexandria describes a relaxed structure of MoOs2Se. The functional is PBE-GGA.

Output
* energy: -8.844 eV per atom
* total moment: 0.0 Bohr magnetons per cell

The structure in CIF format:
```
data_MoOs2Se
_space_group_name_H-M_alt 'P 1'
_space_group_IT_number 1
_space_group_name_Hall 'P 1'
_cell_length_a 2.948
_cell_length_b 2.948
_cell_length_c 6.852
_cell_angle_alpha 90.00
_cell_angle_beta 90.00
_cell_angle_gamma 90.00
loop_
_atom_site_label
_atom_site_fract_x
_atom_site_fract_y
_atom_site_fract_z
Os1 0.500 0.500 0.261
Os2 0.000 0.000 0.999
Se1 0.000 0.000 0.503
Mo1 0.500 0.500 0.737
```

=====

# 4
This record from Alexandria describes a relaxed structure of Mo2OsSe. The functional is PBE-GGA.

Output
* energy: -8.289 eV per atom
* total moment: 0.0 Bohr magnetons per cell

The structure in CIF format:
```
data_Mo2OsSe
_space_group_name_H-M_alt 'P 1'
_space_group_IT_number 1
_space_group_name_Hall 'P 1'
_cell_length_a 5.771
_cell_length_b 5.771
_cell_length_c 6.794
_cell_angle_alpha 64.87
_cell_angle_beta 64.87
_cell_angle_gamma 90.00
loop_
_atom_site_label
_atom_site_fract_x
_atom_site_fract_y
_atom_site_fract_z
Os1 0.750 0.250 0.500
Os2 0.000 0.000 0.000
Mo1 0.875 0.883 0.750
Mo2 0.117 0.625 0.250
Mo3 0.633 0.125 0.250
Mo4 0.375 0.367 0.750
Se1 0.250 0.750 0.500
Se2 0.500 0.500 0.000
```

=====

# 5
This record from Alexandria describes a relaxed structure of MoOs2Se. The functional is PBE-GGA.

Output
* energy: -8.567 eV per atom
* total moment: 0.0 Bohr magnetons per cell

The structure in CIF format:
```
data_MoOs2Se
_space_group_name_H-M_alt 'P 1'
_space_group_IT_number 1
_space_group_name_Hall 'P 1'
_cell_length_a 4.418
_cell_length_b 4.418
_cell_length_c 4.418
_cell_angle_alpha 60.00
_cell_angle_beta 60.00
_cell_angle_gamma 60.00
loop_
_atom_site_label
_atom_site_fract_x
_atom_site_fract_y
_atom_site_fract_z
Os1 0.000 0.000 0.000
Os2 0.250 0.250 0.250
Se1 0.750 0.750 0.750
Mo1 0.500 0.500 0.500
```

=====

# 6
This record from Alexandria describes a relaxed structure of Mo2OsSe. The functional is PBE-GGA.

Output
* energy: -8.544 eV per atom
* total moment: 0.0 Bohr magnetons per cell

The structure in CIF format:
```
data_Mo2OsSe
_space_group_name_H-M_alt 'P 1'
_space_group_IT_number 1
_space_group_name_Hall 'P 1'
_cell_length_a 4.458
_cell_length_b 4.458
_cell_length_c 4.458
_cell_angle_alpha 60.00
_cell_angle_beta 60.00
_cell_angle_gamma 60.00
loop_
_atom_site_label
_atom_site_fract_x
_atom_site_fract_y
_atom_site_fract_z
Se1 0.750 0.750 0.750
Mo1 0.000 0.000 0.000
Mo2 0.250 0.250 0.250
Os1 0.500 0.500 0.500
```

=====

# 7
This record from Alexandria describes a relaxed structure of MoOsSe4. The functional is PBE-GGA.

Output
* distance to the lowest polymorph of the same formula: 1.968 eV per atom
* total moment: 0.6 Bohr magnetons per cell

The structure in CIF format:
```
data_MoOsSe4
_space_group_name_H-M_alt 'P 1'
_space_group_IT_number 1
_space_group_name_Hall 'P 1'
_cell_length_a 5.462
_cell_length_b 5.462
_cell_length_c 5.462
_cell_angle_alpha 60.00
_cell_angle_beta 60.00
_cell_angle_gamma 60.00
loop_
_atom_site_label
_atom_site_fract_x
_atom_site_fract_y
_atom_site_fract_z
Mo1 0.750 0.750 0.750
Os1 0.000 0.000 0.000
Se1 0.375 0.375 0.375
Se2 0.375 0.876 0.375
Se3 0.876 0.375 0.375
Se4 0.375 0.375 0.876
```

=====

# 8
This record from Alexandria describes a relaxed structure of Mo2OsSe. The functional is PBE-GGA.

Output
* energy: -8.805 eV per atom
* total moment: 0.0 Bohr magnetons per cell

The structure in CIF format:
```
data_Mo2OsSe
_space_group_name_H-M_alt 'P 1'
_space_group_IT_number 1
_space_group_name_Hall 'P 1'
_cell_length_a 4.059
_cell_length_b 2.897
_cell_length_c 5.561
_cell_angle_alpha 71.57
_cell_angle_beta 90.00
_cell_angle_gamma 90.00
loop_
_atom_site_label
_atom_site_fract_x
_atom_site_fract_y
_atom_site_fract_z
Os1 0.500 0.250 0.250
Mo1 0.000 0.558 0.497
Mo2 0.000 0.942 0.003
Se1 0.500 0.750 0.750
```